Entry 1:
Material: Pm2Pd5Au3
Method: DFT, PBE-GGA
State: relaxed

```
Pm2Pd5Au3
1.0
-5.538 1.054 -0.136
-4.301 -7.726 -1.644
-3.041 0.195 8.462
Pd Pm Au
10 4 6
direct
0.641 0.713 0.005 Pd
0.006 0.744 0.744 Pd
0.359 0.287 0.995 Pd
0.506 0.744 0.744 Pd
0.141 0.005 0.713 Pd
0.250 0.500 0.500 Pd
0.994 0.256 0.256 Pd
0.859 0.995 0.287 Pd
0.494 0.256 0.256 Pd
0.750 0.500 0.500 Pd
0.374 0.912 0.341 Pm
0.874 0.341 0.912 Pm
0.126 0.659 0.088 Pm
0.626 0.088 0.659 Pm
0.750 0.000 0.000 Au
0.390 0.458 0.762 Au
0.110 0.238 0.542 Au
0.250 0.000 0.000 Au
0.610 0.542 0.238 Au
0.890 0.762 0.458 Au
```

Calculated values
crystal system = orthorhombic
energy of formation = -514 meV per atom
size of the total moment = 0.0 μB/f.u.
uncorrected energy = -5.04 eV per atom

=====

Entry 2:
Material: TaTiPd3
Method: DFT, PBE-GGA
State: relaxed

```
TaTiPd3
1.0
5.279 0.000 0.000
2.640 4.572 0.000
2.640 1.524 7.158
Ta Pd Ti
2 6 2
direct
0.680 0.680 0.960 Ta
0.320 0.320 0.040 Ta
0.757 0.257 0.730 Pd
0.243 0.743 0.270 Pd
0.257 0.256 0.730 Pd
0.743 0.744 0.270 Pd
0.744 0.243 0.270 Pd
0.256 0.757 0.730 Pd
0.805 0.805 0.585 Ti
0.195 0.195 0.415 Ti
```

Calculated values
crystal system = trigonal
energy of formation = -50 meV per atom
size of the total moment = 0.7 μB/f.u.
uncorrected energy = -7.11 eV per atom
energy relative to the lowest polymorph listed for this composition = 0 meV/atom

=====

Entry 3:
Material: SrCo
Method: DFT, PBE-GGA
State: relaxed

```
SrCo
1.0
4.209 0.000 0.000
0.000 4.030 0.000
0.000 0.000 7.401
Co Sr
2 2
direct
0.000 0.500 0.228 Co
0.000 0.000 0.106 Co
0.500 0.000 0.402 Sr
0.500 0.500 0.932 Sr
```

Calculated values
crystal system = orthorhombic
energy of formation = 342 meV per atom
size of the total moment = 1.0 μB/f.u.
uncorrected energy = -4.05 eV per atom

=====

Entry 4:
Material: AlIrN3
Method: DFT, PBE-GGA
State: relaxed

```
AlIrN3
1.0
-3.467 1.154 -0.428
0.191 -0.759 -3.595
-1.216 -3.410 0.656
N Ir Al
3 1 1
direct
0.000 0.500 0.000 N
0.000 0.000 0.500 N
0.500 0.000 0.000 N
0.500 0.500 0.500 Ir
0.000 0.000 0.000 Al
```

Calculated values
crystal system = cubic
raw formation energy = 1.347 eV per atom
size of the total moment = 0.0 μB/f.u.
uncorrected energy = -6.17 eV per atom

=====

Entry 5:
Material: Mg3ScO
Method: DFT, PBE-GGA
State: relaxed

```
Mg3ScO
1.0
-1.052 2.492 3.577
-4.253 -1.394 -0.280
0.957 -3.458 2.690
Mg O Sc
3 1 1
direct
0.000 0.500 0.000 Mg
0.000 0.000 0.500 Mg
0.500 0.000 0.000 Mg
0.000 0.000 0.000 O
0.500 0.500 0.500 Sc
```

Calculated values
crystal system = cubic
raw formation energy = -0.671 eV per atom
size of the total moment = 0.0 μB/f.u.
uncorrected energy = -3.89 eV per atom
energy relative to the lowest polymorph listed for this composition = 0 meV/atom

=====

Entry 6:
Material: Hf2InH2
Method: DFT, PBE-GGA
State: relaxed

```
Hf2InH2
1.0
5.075 0.000 2.178
2.537 4.658 1.090
0.413 0.000 6.049
In H Hf
2 4 4
direct
0.125 0.250 0.750 In
0.875 0.750 0.250 In
0.499 0.750 0.002 H
0.501 0.250 0.998 H
0.749 0.250 0.502 H
0.251 0.750 0.498 H
0.540 0.421 0.250 Hf
0.790 0.921 0.750 Hf
0.460 0.579 0.750 Hf
0.210 0.079 0.250 Hf
```

Calculated values
crystal system = orthorhombic
size of the total moment = 0.0 μB/f.u.
uncorrected energy = -6.19 eV per atom
energy relative to the lowest polymorph listed for this composition = 8 meV/atom

=====

Entry 7:
Material: BaMgTl14
Method: DFT, PBE-GGA
State: relaxed

```
BaMgTl14
1.0
-3.260 5.444 -2.779
-2.661 -1.289 6.265
7.400 6.744 4.531
Tl Mg Ba
14 1 1
direct
0.032 0.375 0.500 Tl
0.853 0.580 0.750 Tl
0.658 0.342 0.000 Tl
0.853 0.580 0.250 Tl
0.420 0.147 0.250 Tl
0.170 0.383 0.000 Tl
0.625 0.968 0.500 Tl
0.420 0.147 0.750 Tl
0.135 0.865 0.000 Tl
0.371 0.629 0.730 Tl
0.903 0.097 0.231 Tl
0.903 0.097 0.769 Tl
0.617 0.830 0.000 Tl
0.371 0.629 0.270 Tl
0.564 0.436 0.500 Mg
0.105 0.895 0.500 Ba
```

Calculated values
crystal system = orthorhombic
energy of formation = -52 meV per atom
size of the total moment = 0.0 μB/f.u.
uncorrected energy = -2.34 eV per atom

=====

Entry 8:
Material: PuTh3S4
Method: DFT, PBE-GGA
State: relaxed

```
PuTh3S4
1.0
-3.833 -3.934 1.503
3.865 -2.479 3.367
-1.671 3.287 4.339
S Th Pu
4 3 1
direct
0.000 0.500 0.000 S
0.500 0.000 0.000 S
0.500 0.500 0.500 S
0.000 0.000 0.500 S
0.500 0.500 0.000 Th
0.000 0.500 0.500 Th
0.500 0.000 0.500 Th
0.000 0.000 0.000 Pu
```

Calculated values
crystal system = cubic
raw formation energy = -1.823 eV per atom
size of the total moment = 5.4 μB/f.u.
uncorrected energy = -8.46 eV per atom